VASP calculation (GGA-PBE) on a relaxed InSbIr crystal.

Structure (extended XYZ):
```
3
Lattice="4.7347 0.0000 0.0000 -2.3673 4.1003 0.0000 0.0000 0.0000 3.1815" Properties=species:S:1:pos:R:3 pbc="T T T"
In 0.0000 0.0000 0.0000
Sb 0.0000 2.7336 1.5908
Ir 2.3673 1.3668 1.5908
```

- Magnetic moment: 0.0 μB per formula unit
- E_form (uncorrected): 0.2531 eV per atom
- Fermi-level density of states: 0.574 states/eV/atom